Entry 1:
{"formula": "Cs14CdHg", "functional": "PBE", "state": "relaxed", "e_tot_ev_per_cell": -13.255, "formation_enthalpy_0k_ev_per_atom": -0.006, "crystal_system": "orthorhombic", "cell": [[-2.589, 0.167, 10.196], [5.909, -8.702, -0.213], [11.796, 7.940, 2.865]], "species": ["Cs", "Cd", "Cs", "Cs", "Cs", "Cs", "Cs", "Cs", "Cs", "Hg", "Cs", "Cs", "Cs", "Cs", "Cs", "Cs"], "fractional_positions": [[0.696, 0.928, 0.186], [0.420, 0.580, 0.000], [0.900, 0.687, 0.500], [0.588, 0.412, 0.245], [0.827, 0.173, 0.500], [0.403, 0.166, 0.000], [0.072, 0.304, 0.814], [0.834, 0.597, 0.000], [0.313, 0.100, 0.500], [0.779, 0.221, 0.000], [0.217, 0.783, 0.809], [0.588, 0.412, 0.755], [0.379, 0.621, 0.500], [0.217, 0.783, 0.191], [0.072, 0.304, 0.186], [0.696, 0.928, 0.814]]}

***

Entry 2:
{"formula": "Na2PmPuS4", "functional": "PBE", "state": "relaxed", "e_tot_ev_per_cell": -51.546, "crystal_system": "monoclinic", "cell": [[4.079, 0.000, 0.000], [0.000, 7.061, 0.112], [0.000, -2.474, 6.618]], "species": ["Na", "S", "S", "Pm", "S", "S", "Na", "Pu"], "fractional_positions": [[0.000, 0.500, 0.500], [0.000, 0.747, 0.232], [0.000, 0.253, 0.768], [0.500, 0.500, 0.000], [0.500, 0.238, 0.227], [0.500, 0.762, 0.773], [0.500, 0.000, 0.500], [0.000, 0.000, 0.000]]}

***

Entry 3:
{"formula": "SrLa2MgRh", "functional": "PBE", "state": "relaxed", "e_tot_ev_per_cell": -21.699, "relative_energy_mev_per_atom": 62.2, "formation_enthalpy_0k_ev_per_atom": -0.243, "crystal_system": "tetragonal", "cell": [[5.518, 0.000, 0.000], [0.000, 5.518, 0.000], [0.000, 0.000, 6.014]], "species": ["Rh", "La", "Sr", "Mg", "La"], "fractional_positions": [[0.000, 0.000, 0.000], [0.500, 0.000, 0.000], [0.000, 0.000, 0.500], [0.500, 0.500, 0.500], [0.000, 0.500, 0.000]]}

***

Entry 4:
{"formula": "Pr3Ho4Er", "functional": "PBE", "state": "relaxed", "e_tot_ev_per_cell": -74.356, "relative_energy_mev_per_atom": 0.0, "formation_enthalpy_0k_ev_per_atom": 0.004, "crystal_system": "orthorhombic", "cell": [[-1.493, 6.732, 2.173], [-1.944, 1.426, -5.754], [-10.775, -3.301, 2.823]], "species": ["Ho", "Ho", "Ho", "Ho", "Er", "Ho", "Ho", "Pr", "Ho", "Pr", "Pr", "Er", "Pr", "Pr", "Ho", "Pr"], "fractional_positions": [[0.439, 0.000, 0.750], [0.439, 0.000, 0.250], [0.939, 0.000, 0.250], [0.689, 0.165, 0.500], [0.941, 0.334, 0.000], [0.438, 0.333, 0.000], [0.939, 0.000, 0.750], [0.190, 0.504, 0.248], [0.189, 0.835, 0.000], [0.690, 0.496, 0.748], [0.690, 0.496, 0.252], [0.441, 0.666, 0.500], [0.190, 0.504, 0.752], [0.189, 0.167, 0.500], [0.938, 0.667, 0.500], [0.689, 0.833, 0.000]]}

***

Entry 5:
{"formula": "CsRb2ReB", "functional": "PBE", "state": "relaxed", "e_tot_ev_per_cell": -15.903, "formation_enthalpy_0k_ev_per_atom": 1.202, "crystal_system": "tetragonal", "cell": [[-3.055, -5.275, 2.939], [2.248, -2.649, -2.417], [4.852, -0.184, 4.714]], "species": ["B", "Re", "Cs", "Rb", "Rb"], "fractional_positions": [[0.000, 0.500, 0.000], [0.000, 0.000, 0.000], [0.500, 0.500, 0.500], [0.000, 0.000, 0.500], [0.500, 0.000, 0.000]]}

***

Entry 6:
{"formula": "NaLi3B", "functional": "PBE", "state": "relaxed", "e_tot_ev_per_cell": -7.422, "relative_energy_mev_per_atom": 895.6, "formation_enthalpy_0k_ev_per_atom": 1.263, "crystal_system": "cubic", "cell": [[4.743, 0.000, 0.000], [0.000, 4.743, 0.000], [0.000, 0.000, 4.743]], "species": ["Na", "Li", "Li", "Li", "B"], "fractional_positions": [[0.000, 0.000, 0.000], [0.500, 0.000, 0.000], [0.000, 0.000, 0.500], [0.000, 0.500, 0.000], [0.500, 0.500, 0.500]]}

***

Entry 7:
{"formula": "Li3Ce2ZrSe6", "functional": "PBE", "state": "relaxed", "e_tot_ev_per_cell": -65.008, "crystal_system": "monoclinic", "cell": [[7.030, -0.003, 0.003], [-3.516, 6.088, 0.003], [-1.170, -2.026, 6.536]], "species": ["Li", "Zr", "Se", "Se", "Se", "Ce", "Se", "Ce", "Se", "Se", "Li", "Li"], "fractional_positions": [[0.500, 0.500, 0.500], [0.000, 0.000, 0.000], [0.086, 0.401, 0.259], [0.401, 0.086, 0.259], [0.768, 0.768, 0.254], [0.332, 0.668, 0.000], [0.914, 0.599, 0.741], [0.668, 0.332, 0.000], [0.599, 0.914, 0.741], [0.232, 0.232, 0.746], [0.161, 0.839, 0.500], [0.839, 0.161, 0.500]]}

***

Entry 8:
{"formula": "Sc2TlRh2", "functional": "PBE", "state": "relaxed", "e_tot_ev_per_cell": -31.742, "formation_enthalpy_0k_ev_per_atom": -0.402, "crystal_system": "tetragonal", "cell": [[-2.424, -3.577, 0.700], [2.961, -1.442, 2.883], [-2.411, 0.101, 5.849]], "species": ["Sc", "Sc", "Tl", "Rh", "Rh"], "fractional_positions": [[0.250, 0.750, 0.500], [0.750, 0.250, 0.500], [0.000, 0.000, 0.000], [0.384, 0.384, 0.231], [0.616, 0.616, 0.769]]}

***

Entry 9:
{"formula": "MgTaBe", "functional": "PBE", "state": "relaxed", "e_tot_ev_per_cell": -15.879, "relative_energy_mev_per_atom": 273.1, "formation_enthalpy_0k_ev_per_atom": 0.432, "crystal_system": "hexagonal", "cell": [[-0.559, -3.314, 2.595], [3.270, 0.048, -2.708], [1.689, 1.330, 2.063]], "species": ["Mg", "Be", "Ta"], "fractional_positions": [[0.667, 0.333, 0.167], [0.000, 0.000, 0.166], [0.333, 0.667, 0.667]]}

***

Entry 10:
{"formula": "Dy2MgTe", "functional": "PBE", "state": "relaxed", "e_tot_ev_per_cell": -16.301, "relative_energy_mev_per_atom": 0.0, "crystal_system": "tetragonal", "cell": [[-0.076, 1.385, -3.660], [0.614, -3.611, -1.380], [-6.865, -1.068, -0.262]], "species": ["Mg", "Te", "Dy", "Dy"], "fractional_positions": [[0.500, 0.500, 0.000], [0.500, 0.500, 0.500], [0.000, 0.000, 0.749], [0.000, 0.000, 0.251]]}

***

Entry 11:
{"formula": "Ti2TcAsPb", "functional": "PBE", "state": "relaxed", "e_tot_ev_per_cell": -30.091, "formation_enthalpy_0k_ev_per_atom": 0.885, "crystal_system": "tetragonal", "cell": [[4.662, 0.000, 0.000], [0.000, 4.662, 0.000], [0.000, 0.000, 5.409]], "species": ["Ti", "Tc", "As", "Ti", "Pb"], "fractional_positions": [[0.000, 0.500, 0.000], [0.500, 0.500, 0.500], [0.000, 0.000, 0.000], [0.500, 0.000, 0.000], [0.000, 0.000, 0.500]]}

***

Entry 12:
{"formula": "BaCaHg2Pd", "functional": "PBE", "state": "relaxed", "e_tot_ev_per_cell": -11.637, "formation_enthalpy_0k_ev_per_atom": -0.383, "crystal_system": "tetragonal", "cell": [[-3.563, 1.973, -3.644], [-3.661, 0.755, 3.987], [1.851, 4.803, 0.790]], "species": ["Hg", "Ca", "Ba", "Pd", "Hg"], "fractional_positions": [[0.500, 0.000, 0.000], [0.000, 0.000, 0.500], [0.500, 0.500, 0.500], [0.000, 0.000, 0.000], [0.000, 0.500, 0.000]]}

***

Entry 13:
{"formula": "Ac2AlPd", "functional": "PBE", "state": "relaxed", "e_tot_ev_per_cell": -19.007, "formation_enthalpy_0k_ev_per_atom": -0.464, "crystal_system": "tetragonal", "cell": [[-0.481, -2.346, -3.010], [3.315, -1.760, 0.842], [-3.896, -5.129, 4.621]], "species": ["Ac", "Al", "Pd", "Ac"], "fractional_positions": [[0.000, 0.000, 0.235], [0.500, 0.500, 0.500], [0.500, 0.500, 0.000], [0.000, 0.000, 0.765]]}

***

Entry 14:
{"formula": "Y5ZnCu2", "functional": "PBE", "state": "relaxed", "e_tot_ev_per_cell": -86.439, "formation_enthalpy_0k_ev_per_atom": -0.179, "crystal_system": "tetragonal", "cell": [[7.108, 0.000, -3.355], [-1.584, 6.929, -3.355], [-0.354, -0.444, 8.458]], "species": ["Y", "Y", "Y", "Y", "Cu", "Cu", "Y", "Y", "Y", "Y", "Zn", "Y", "Zn", "Cu", "Y", "Cu"], "fractional_positions": [[0.197, 0.015, 0.712], [0.985, 0.485, 0.288], [0.303, 0.803, 0.288], [0.485, 0.303, 0.288], [0.373, 0.873, 0.000], [0.127, 0.373, 0.000], [0.500, 0.500, 0.000], [0.697, 0.197, 0.712], [0.015, 0.515, 0.712], [0.515, 0.697, 0.712], [0.250, 0.250, 0.500], [0.803, 0.985, 0.288], [0.750, 0.750, 0.500], [0.627, 0.127, 0.000], [0.000, 0.000, 0.000], [0.873, 0.627, 0.000]]}

***

Entry 15:
{"formula": "CuSb2P", "functional": "PBE", "state": "relaxed", "e_tot_ev_per_cell": -16.982, "crystal_system": "orthorhombic", "cell": [[3.087, 0.351, 0.000], [-0.345, 3.088, 0.000], [0.000, 0.000, 9.408]], "species": ["Sb", "Cu", "Sb", "P"], "fractional_positions": [[0.000, 0.000, 0.955], [0.000, 0.000, 0.672], [0.500, 0.500, 0.298], [0.500, 0.500, 0.575]]}

***

Entry 16:
{"formula": "Li2In5Pd5", "functional": "PBE", "state": "relaxed", "e_tot_ev_per_cell": -49.188, "formation_enthalpy_0k_ev_per_atom": -0.475, "crystal_system": "monoclinic", "cell": [[-0.137, -2.058, 3.025], [6.679, 1.354, -0.993], [-5.375, 6.976, 4.504]], "species": ["In", "Li", "Pd", "In", "In", "Pd", "In", "Pd", "In", "Li", "Pd", "Pd"], "fractional_positions": [[0.000, 0.000, 0.000], [0.063, 0.127, 0.753], [0.500, 0.000, 0.500], [0.847, 0.694, 0.507], [0.153, 0.306, 0.493], [0.653, 0.306, 0.985], [0.265, 0.531, 0.224], [0.393, 0.787, 0.744], [0.735, 0.469, 0.776], [0.937, 0.873, 0.247], [0.347, 0.694, 0.015], [0.607, 0.213, 0.256]]}

***

Entry 17:
{"formula": "BiPbO3", "functional": "PBE", "state": "relaxed", "e_tot_ev_per_cell": -24.998, "crystal_system": "cubic", "cell": [[4.268, 0.000, 0.000], [0.000, 4.268, 0.000], [0.000, 0.000, 4.268]], "species": ["O", "O", "O", "Bi", "Pb"], "fractional_positions": [[0.000, 0.000, 0.500], [0.500, 0.000, 0.000], [0.000, 0.500, 0.000], [0.500, 0.500, 0.500], [0.000, 0.000, 0.000]]}

***

Entry 18:
{"formula": "Tb5Pr2YTm", "functional": "PBE", "state": "relaxed", "e_tot_ev_per_cell": -82.418, "formation_enthalpy_0k_ev_per_atom": 0.271, "crystal_system": "tetragonal", "cell": [[8.619, 0.000, 0.000], [0.000, 8.619, 0.000], [-4.310, -4.310, 8.008]], "species": ["Tb", "Tb", "Tb", "Tm", "Y", "Pr", "Pr", "Tb", "Tm", "Tb", "Tb", "Tb", "Tb", "Pr", "Pr", "Tb", "Y", "Tb"], "fractional_positions": [[0.357, 0.857, 0.284], [0.073, 0.573, 0.716], [0.500, 0.500, 0.000], [0.250, 0.750, 0.500], [0.250, 0.250, 0.500], [0.881, 0.619, 0.000], [0.381, 0.881, 0.000], [0.143, 0.073, 0.716], [0.750, 0.250, 0.500], [0.643, 0.143, 0.716], [0.573, 0.643, 0.716], [0.927, 0.427, 0.284], [0.857, 0.927, 0.284], [0.119, 0.381, 0.000], [0.619, 0.119, 0.000], [0.427, 0.357, 0.284], [0.750, 0.750, 0.500], [0.000, 0.000, 0.000]]}

***

Entry 19:
{"formula": "Ca4PrPb5", "functional": "PBE", "state": "relaxed", "e_tot_ev_per_cell": -36.482, "formation_enthalpy_0k_ev_per_atom": -0.515, "crystal_system": "tetragonal", "cell": [[3.596, 0.000, 0.000], [0.000, 3.596, 0.000], [0.000, 0.000, 23.325]], "species": ["Pb", "Pb", "Pb", "Ca", "Pr", "Ca", "Ca", "Ca", "Pb", "Pb"], "fractional_positions": [[0.500, 0.500, 0.500], [0.500, 0.500, 0.102], [0.500, 0.500, 0.699], [0.000, 0.000, 0.798], [0.000, 0.000, 0.000], [0.000, 0.000, 0.202], [0.000, 0.000, 0.400], [0.000, 0.000, 0.600], [0.500, 0.500, 0.301], [0.500, 0.500, 0.898]]}

***

Entry 20:
{"formula": "TaIn2Cl", "functional": "PBE", "state": "relaxed", "e_tot_ev_per_cell": -18.901, "relative_energy_mev_per_atom": 296.2, "crystal_system": "orthorhombic", "cell": [[5.348, -0.051, 0.000], [-1.017, 5.250, 0.000], [0.000, 0.000, 3.036]], "species": ["In", "Ta", "Cl", "In"], "fractional_positions": [[0.500, 0.500, 0.000], [0.500, 0.000, 0.500], [0.000, 0.500, 0.500], [0.000, 0.000, 0.000]]}